# 1
Here is an optimized crystal structure of Pm2Tc2O7 from the Alexandria database. Energies are from PBE-GGA.

Relative energy among the computed polymorphs in kJ/mol of atoms: 0.0
Calculated density in g/cm³: 6.88

Unit cell a=10.4892 b=10.4892 c=10.4892 alpha=90.00 beta=90.00 gamma=90.00
Space group Fd-3m (No. 227, origin choice 2)
One atom of each set of equivalent atoms:
Pm: 0.0000 0.0000 0.0000 x16
Tc: 0.0000 0.0000 0.5000 x16
O: 0.0836 0.3750 0.8750 x48
O: 0.1250 0.1250 0.1250 x8

# 2
Here is an optimized crystal structure of PmTcO6 from the Alexandria database. Energies are from PBE-GGA.

Total DFT energy (no corrections) in eV per formula unit: -56.3
Calculated density in g/cm³: 3.76

Unit cell a=8.4325 b=8.4325 c=8.4325 alpha=90.00 beta=90.00 gamma=90.00
Space group Fm-3m (No. 225)
One atom of each set of equivalent atoms:
Pm: 0.0000 0.0000 0.0000 x4
Tc: 0.0000 0.0000 0.5000 x4
O: 0.0000 0.0000 0.2780 x24

The lowest calculated density belongs to which entry?
PmTcO6

Which of these has the highest calculated density?
Pm2Tc2O7

Among the records above, which one has the lowest calculated density?
PmTcO6

What is the formula in the first record?
Pm2Tc2O7